(1)
The following is a DFT calculation (GGA-PBE) of a relaxed structure of MnCr4Ir. Values from VASP.

Structure (Quantum ESPRESSO input):
```
&SYSTEM
  ibrav = 0, nat = 6, ntyp = 3
/
ATOMIC_SPECIES
Mn 54.94 Mn.upf
Cr 52.00 Cr.upf
Ir 192.22 Ir.upf
CELL_PARAMETERS angstrom
0.000 3.327 3.327
3.327 0.000 3.327
3.327 3.327 0.000
ATOMIC_POSITIONS angstrom
Mn 0.000 0.000 0.000
Cr 2.481 4.174 2.481
Cr 4.174 2.481 2.481
Cr 4.174 4.174 4.174
Cr 2.481 2.481 4.174
Ir 1.664 1.664 1.664
```

Properties
The calculation puts the density of states at the Fermi level at 5.46 states/eV/f.u. The value obtained for the energy of formation from the pure elements is 0.03 eV/atom. For the uncorrected energy, the calculation gives -9.392 eV per atom. The value obtained for the volume is 12.278 Å³/atom.

(2)
The following is a DFT calculation (GGA-PBE) of a relaxed structure of Ce2SiIr2. Values from VASP.

Structure (Quantum ESPRESSO input):
```
&SYSTEM
  ibrav = 0, nat = 5, ntyp = 3
/
ATOMIC_SPECIES
Ir 192.22 Ir.upf
Si 28.09 Si.upf
Ce 140.12 Ce.upf
CELL_PARAMETERS angstrom
3.954 0.000 1.684
1.259 4.663 2.527
0.013 -0.045 5.452
ATOMIC_POSITIONS angstrom
Ir 0.313 1.137 2.006
Ir 4.913 3.481 7.657
Si 2.606 2.332 2.106
Ce 3.775 3.723 4.844
Ce 1.451 0.895 4.819
```

Properties
The calculation puts the density of states at the Fermi level at 5.76 states/eV/f.u. For the uncorrected energy, the calculation gives -7.854 eV per atom. The value obtained for the volume is 20.153 Å³/atom.

(3)
The following is a DFT calculation (GGA-PBE) of a relaxed structure of SrZrS3. Values from VASP.

Structure (Quantum ESPRESSO input):
```
&SYSTEM
  ibrav = 0, nat = 5, ntyp = 3
/
ATOMIC_SPECIES
Zr 91.22 Zr.upf
Sr 87.62 Sr.upf
S 32.06 S.upf
CELL_PARAMETERS angstrom
-2.331 -2.523 3.647
-0.842 -3.793 -3.162
4.354 -2.084 1.341
ATOMIC_POSITIONS angstrom
Zr 0.000 0.000 0.000
Sr 0.591 -4.200 0.913
S -0.421 -1.897 -1.581
S 2.177 -1.042 0.670
S -1.165 -1.261 1.824
```

Properties
The calculation puts the density of states at the Fermi level at 0.00 states/eV/f.u. For the uncorrected energy, the calculation gives -6.157 eV per atom. For the relative energy among the computed polymorphs, the calculation gives 0.148 eV/atom. The value obtained for the volume is 25.146 Å³/atom.

(4)
The following is a DFT calculation (GGA-PBE) of a relaxed structure of Pa2As4Au. Values from VASP.

Structure (Quantum ESPRESSO input):
```
&SYSTEM
  ibrav = 0, nat = 7, ntyp = 3
/
ATOMIC_SPECIES
As 74.92 As.upf
Pa 231.04 Pa.upf
Au 196.97 Au.upf
CELL_PARAMETERS angstrom
4.028 0.000 0.000
0.000 4.028 0.000
0.000 0.000 9.487
ATOMIC_POSITIONS angstrom
As 2.014 0.000 1.764
As 0.000 2.014 7.723
As 0.000 0.000 4.743
As 2.014 2.014 4.743
Pa 0.000 2.014 2.515
Pa 2.014 0.000 6.972
Au 2.014 2.014 0.000
```

Properties
The calculation puts the density of states at the Fermi level at 6.15 states/eV/f.u. The value obtained for the energy of formation from the pure elements is -0.75 eV/atom. For the uncorrected energy, the calculation gives -6.589 eV per atom. The value obtained for the volume is 21.988 Å³/atom.

(5)
The following is a DFT calculation (GGA-PBE) of a relaxed structure of La3AlZn. Values from VASP.

Structure (Quantum ESPRESSO input):
```
&SYSTEM
  ibrav = 0, nat = 10, ntyp = 3
/
ATOMIC_SPECIES
Zn 65.41 Zn.upf
La 138.91 La.upf
Al 26.98 Al.upf
CELL_PARAMETERS angstrom
5.301 0.000 1.211
0.000 5.438 0.000
0.468 0.000 10.156
ATOMIC_POSITIONS angstrom
Zn 5.509 1.360 8.212
Zn 3.696 4.079 3.941
La 4.064 1.360 2.332
La 0.640 4.079 5.112
La 5.141 4.079 9.821
La 1.454 4.079 1.549
La 2.451 1.360 9.392
La 3.265 1.360 5.830
Al 1.043 1.360 3.347
Al 2.861 4.079 7.594
```

Properties
The calculation puts the density of states at the Fermi level at 4.97 states/eV/f.u. The value obtained for the energy of formation from the pure elements is -0.26 eV/atom. For the uncorrected energy, the calculation gives -4.217 eV per atom. For the relative energy among the computed polymorphs, the calculation gives 0.000 eV/atom. The value obtained for the volume is 28.971 Å³/atom.

(6)
The following is a DFT calculation (GGA-PBE) of a relaxed structure of NaCaSe3. Values from VASP.

Structure (Quantum ESPRESSO input):
```
&SYSTEM
  ibrav = 0, nat = 5, ntyp = 3
/
ATOMIC_SPECIES
Se 78.96 Se.upf
Na 22.99 Na.upf
Ca 40.08 Ca.upf
CELL_PARAMETERS angstrom
5.166 0.000 0.000
0.000 5.166 0.000
0.000 0.000 5.166
ATOMIC_POSITIONS angstrom
Se 0.000 2.583 0.000
Se 2.583 0.000 0.000
Se 0.000 0.000 2.583
Na 0.000 0.000 0.000
Ca 2.583 2.583 2.583
```

Properties
The calculation puts the density of states at the Fermi level at 5.24 states/eV/f.u. For the uncorrected energy, the calculation gives -3.030 eV per atom. For the relative energy among the computed polymorphs, the calculation gives 0.178 eV/atom. The value obtained for the volume is 27.576 Å³/atom.